PBE AcVN3, optimized geometry; formation energy from raw total energies = -0.459 eV/atom; total magnetic moment = 0.0 μB per formula unit; raw total energy = -8.1000 eV per atom
1.0
-2.713 4.990 1.999
-2.698 -0.289 -2.941
-3.399 -3.224 3.435
V N Ac
2 6 2
Direct
0.102 0.500 0.500
0.898 0.000 0.000
0.933 0.500 0.227
0.067 0.000 0.273
0.933 0.500 0.773
0.396 0.500 0.500
0.604 0.000 0.000
0.067 0.000 0.727
0.336 0.500 0.000
0.664 0.000 0.500